Density functional theory data (meta-GGA SCAN) for RbLaNbS2 at its PBEsol-relaxed geometry.

## Properties
Raw total energy ... -116.43 eV for the cell shown
Formation energy from raw total energies ... -0.040 eV/atom
Total magnetization ... 0.921 μB per atom

a = 5.5516 Å, b = 5.5516 Å, c = 5.5863 Å
α = 90.00°, β = 90.00°, γ = 90.00°
Last column: nearest neighbours and their distance in Å.
Space group P4/mmm (No. 123)
Inequivalent atoms, fractional coordinates:
Rb 0.0000 0.0000 0.0000 x1  4 Nb 3.93, 8 S 3.94
La 0.5000 0.5000 0.5000 x1  4 S 2.78, 2 Nb 2.79
Nb 0.5000 0.5000 0.0000 x1  2 La 2.79
S 0.0000 0.5000 0.5000 x2  2 La 2.78